No. 1
VASP calculation (PBE-GGA) on a geometry-optimized LiTb2Pt2 structure.

a b c (Å): 4.272 5.770 8.427
angles (deg): 90.00 90.00 90.00
Atoms (fractional coordinates):
Li  0.000  0.000  0.000
Li  0.500  0.500  0.500
Tb  0.000  0.500  0.199
Tb  0.000  0.500  0.801
Tb  0.500  0.000  0.301
Tb  0.500  0.000  0.699
Pt  0.000  0.241  0.500
Pt  0.000  0.759  0.500
Pt  0.500  0.259  0.000
Pt  0.500  0.741  0.000

Summary:
energy above the most stable polymorph in this dataset = 0.00 eV/f.u.
total magnetization = 0.00 Bohr magnetons per cell
DOS at the Fermi energy = 5.6 states/eV/cell
E_tot = -28.3 eV per formula unit

No. 2
VASP calculation (PBE-GGA) on a geometry-optimized LiTbPt structure.

a b c (Å): 3.652 3.652 8.933
angles (deg): 90.00 90.00 90.00
Atoms (fractional coordinates):
Li  0.000  0.000  0.000
Li  0.500  0.500  0.500
Tb  0.000  0.000  0.307
Tb  0.500  0.500  0.807
Pt  0.000  0.000  0.654
Pt  0.500  0.500  0.154

Summary:
energy above the most stable polymorph in this dataset = 0.50 eV/f.u.
total magnetization = 0.00 Bohr magnetons per cell
DOS at the Fermi energy = 3.5 states/eV/cell
E_tot = -14.7 eV per formula unit

No. 3
VASP calculation (PBE-GGA) on a geometry-optimized Li2Tb2Pt15 structure.

a b c (Å): 6.972 6.972 6.972
angles (deg): 82.79 82.79 82.79
Atoms (fractional coordinates):
Li  0.096  0.096  0.096
Li  0.904  0.904  0.904
Tb  0.349  0.349  0.349
Tb  0.651  0.651  0.651
Pt  0.000  0.000  0.500
Pt  0.000  0.322  0.678
Pt  0.000  0.500  0.000
Pt  0.000  0.678  0.322
Pt  0.164  0.661  0.661
Pt  0.322  0.000  0.678
Pt  0.322  0.678  0.000
Pt  0.339  0.339  0.836
Pt  0.339  0.836  0.339
Pt  0.500  0.000  0.000
Pt  0.661  0.164  0.661
Pt  0.661  0.661  0.164
Pt  0.678  0.000  0.322
Pt  0.678  0.322  0.000
Pt  0.836  0.339  0.339

Summary:
total magnetization = 0.00 Bohr magnetons per cell
DOS at the Fermi energy = 14.9 states/eV/cell
E_tot = -114.6 eV per formula unit

For reference, E_form by record: -0.999 -0.713 -0.572 eV per atom.